A geometry-optimized Ba3Ag2BiS6 structure. Source: Alexandria via LeMat-Bulk, functional PBE.

Unit cell a=7.5261 b=7.5261 c=7.7337 alpha=90.00 beta=90.00 gamma=120.00
Sites, in units of the cell vectors:
1 Ba 0.0000 0.0000 0.0000
2 Ba 0.3333 0.6667 0.6026
3 Ba 0.6667 0.3333 0.3974
4 Ag 0.3333 0.6667 0.1347
5 Ag 0.6667 0.3333 0.8653
6 Bi 0.0000 0.0000 0.5000
7 S 0.1689 0.3378 0.2961
8 S 0.1689 0.8311 0.2961
9 S 0.3378 0.1689 0.7039
10 S 0.6622 0.8311 0.2961
11 S 0.8311 0.1689 0.7039
12 S 0.8311 0.6622 0.7039

Summary:
Formation energy without anion corrections = -0.89 eV/atom
DOS at the Fermi energy = 0.329 states/eV/atom
Calculated total energy = -0.3113 Ry/atom
Magnetic moment = 0.000 μB per atom

A geometry-optimized BaAgBiS3 structure. Source: Alexandria via LeMat-Bulk, functional PBE.

Unit cell a=8.6099 b=4.1948 c=9.2446 alpha=90.00 beta=104.81 gamma=90.00
Sites, in units of the cell vectors:
1 Ba 0.1960 0.2500 0.2445
2 Ba 0.8040 0.7500 0.7555
3 Ag 0.0917 0.2500 0.5914
4 Ag 0.9083 0.7500 0.4086
5 Bi 0.3276 0.7500 0.8423
6 Bi 0.6724 0.2500 0.1577
7 S 0.1089 0.2500 0.8764
8 S 0.2374 0.7500 0.5159
9 S 0.4431 0.7500 0.1542
10 S 0.5569 0.2500 0.8458
11 S 0.7626 0.2500 0.4841
12 S 0.8911 0.7500 0.1236

Summary:
Formation energy without anion corrections = -0.88 eV/atom
Calculated total energy = -0.3221 Ry/atom
Magnetic moment = 0.000 μB per atom

A geometry-optimized Ba2AgBiS4 structure. Source: Alexandria via LeMat-Bulk, functional PBE.

Unit cell a=8.5682 b=8.5682 c=8.5682 alpha=121.49 beta=118.37 gamma=90.15
Sites, in units of the cell vectors:
1 Ba 0.0000 0.0000 0.0000
2 Ba 0.5000 0.0000 0.0000
3 Ba 0.5000 0.0000 0.5000
4 Ba 0.5000 0.5000 0.5000
5 Ag 0.0000 0.5000 0.5000
6 Ag 0.5000 0.5000 0.0000
7 Bi 0.0000 0.0000 0.5000
8 Bi 0.0000 0.5000 0.0000
9 S 0.2208 0.7425 0.4782
10 S 0.2357 0.2575 0.9782
11 S 0.2374 0.2542 0.5169
12 S 0.2374 0.7205 0.9831
13 S 0.7626 0.2795 0.0169
14 S 0.7626 0.7458 0.4831
15 S 0.7643 0.7425 0.0218
16 S 0.7792 0.2575 0.5218

Summary:
Formation energy without anion corrections = -1.07 eV/atom
Calculated total energy = -0.3275 Ry/atom
Magnetic moment = 0.000 μB per atom

A geometry-optimized Ba4AgBi2Sb2 structure. Source: Alexandria via LeMat-Bulk, functional PBE.

Unit cell a=7.0544 b=7.0544 c=7.4368 alpha=95.05 beta=95.05 gamma=84.69
Sites, in units of the cell vectors:
1 Ba 0.1034 0.6255 0.7506
2 Ba 0.3745 0.8966 0.2494
3 Ba 0.6255 0.1034 0.7506
4 Ba 0.8966 0.3745 0.2494
5 Ag 0.5000 0.5000 0.5000
6 Bi 0.3802 0.3802 0.1389
7 Bi 0.6198 0.6198 0.8611
8 Sb 0.1099 0.1099 0.6440
9 Sb 0.8901 0.8901 0.3560

Summary:
Formation energy without anion corrections = -0.71 eV/atom
DOS at the Fermi energy = 0.450 states/eV/atom
Calculated total energy = -0.2692 Ry/atom
Magnetic moment = 0.000 μB per atom

A geometry-optimized Ba2Ag3BiSb4 structure. Source: Alexandria via LeMat-Bulk, functional PBE.

Unit cell a=5.1812 b=5.1812 c=11.3815 alpha=90.00 beta=90.00 gamma=90.00
Sites, in units of the cell vectors:
1 Ba 0.0000 0.5000 0.2333
2 Ba 0.5000 0.0000 0.7667
3 Ag 0.0000 0.5000 0.8851
4 Ag 0.5000 0.0000 0.1149
5 Ag 0.5000 0.5000 0.5000
6 Bi 0.0000 0.0000 0.5000
7 Sb 0.0000 0.0000 0.0000
8 Sb 0.0000 0.5000 0.6399
9 Sb 0.5000 0.0000 0.3601
10 Sb 0.5000 0.5000 0.0000

Summary:
Formation energy without anion corrections = -0.41 eV/atom
DOS at the Fermi energy = 0.159 states/eV/atom
Calculated total energy = -0.2712 Ry/atom
Magnetic moment = 0.000 μB per atom

A geometry-optimized Ba2Ag2BiSe4 structure. Source: Alexandria via LeMat-Bulk, functional PBE.

Unit cell a=8.8823 b=8.8823 c=7.5727 alpha=109.80 beta=109.80 gamma=28.23
Sites, in units of the cell vectors:
1 Ba 0.1323 0.1323 0.0547
2 Ba 0.8677 0.8677 0.9453
3 Ag 0.3168 0.3168 0.4946
4 Ag 0.6832 0.6832 0.5054
5 Bi 0.0000 0.0000 0.5000
6 Se 0.2244 0.2244 0.7401
7 Se 0.4764 0.4764 0.7487
8 Se 0.5236 0.5236 0.2513
9 Se 0.7756 0.7756 0.2599

Summary:
Formation energy without anion corrections = -0.90 eV/atom
DOS at the Fermi energy = 0.295 states/eV/atom
Calculated total energy = -0.2899 Ry/atom
Magnetic moment = 0.076 μB per atom

A geometry-optimized Ba2SmAg3Bi4 structure. Source: Alexandria via LeMat-Bulk, functional PBE.

Unit cell a=5.0628 b=5.0628 c=12.6044 alpha=90.00 beta=90.00 gamma=90.00
Sites, in units of the cell vectors:
1 Ba 0.0000 0.5000 0.2253
2 Ba 0.5000 0.0000 0.7747
3 Sm 0.0000 0.0000 0.5000
4 Ag 0.0000 0.5000 0.8744
5 Ag 0.5000 0.0000 0.1256
6 Ag 0.5000 0.5000 0.5000
7 Bi 0.0000 0.0000 0.0000
8 Bi 0.0000 0.5000 0.6451
9 Bi 0.5000 0.0000 0.3549
10 Bi 0.5000 0.5000 0.0000

Summary:
DOS at the Fermi energy = 0.440 states/eV/atom
Calculated total energy = -0.2776 Ry/atom
Magnetic moment = 0.000 μB per atom
Formation enthalpy at 0 K = -0.512 eV per atom

A geometry-optimized Ba2Ag4SnBi3 structure. Source: Alexandria via LeMat-Bulk, functional PBE.

Unit cell a=4.9129 b=4.9129 c=12.2428 alpha=90.00 beta=90.00 gamma=90.00
Sites, in units of the cell vectors:
1 Ba 0.0000 0.5000 0.2395
2 Ba 0.5000 0.0000 0.7605
3 Ag 0.0000 0.0000 0.0000
4 Ag 0.0000 0.5000 0.6341
5 Ag 0.5000 0.0000 0.3659
6 Ag 0.5000 0.5000 0.0000
7 Sn 0.0000 0.0000 0.5000
8 Bi 0.0000 0.5000 0.8674
9 Bi 0.5000 0.0000 0.1326
10 Bi 0.5000 0.5000 0.5000

Summary:
DOS at the Fermi energy = 0.293 states/eV/atom
Calculated total energy = -0.2566 Ry/atom
Magnetic moment = 0.000 μB per atom
Formation enthalpy at 0 K = -0.401 eV per atom

A geometry-optimized Ba2SrAg3Bi4 structure. Source: Alexandria via LeMat-Bulk, functional PBE.

Unit cell a=5.0495 b=5.0495 c=13.0057 alpha=90.00 beta=90.00 gamma=90.00
Sites, in units of the cell vectors:
1 Ba 0.0000 0.5000 0.2291
2 Ba 0.5000 0.0000 0.7709
3 Sr 0.0000 0.0000 0.5000
4 Ag 0.0000 0.5000 0.8752
5 Ag 0.5000 0.0000 0.1248
6 Ag 0.5000 0.5000 0.5000
7 Bi 0.0000 0.0000 0.0000
8 Bi 0.0000 0.5000 0.6555
9 Bi 0.5000 0.0000 0.3445
10 Bi 0.5000 0.5000 0.0000

Summary:
DOS at the Fermi energy = 0.268 states/eV/atom
Calculated total energy = -0.2568 Ry/atom
Magnetic moment = 0.000 μB per atom
Formation enthalpy at 0 K = -0.534 eV per atom

A geometry-optimized BaTaAg2Bi structure. Source: Alexandria via LeMat-Bulk, functional PBE.

Unit cell a=5.4908 b=5.4908 c=5.4940 alpha=90.00 beta=90.00 gamma=90.00
Sites, in units of the cell vectors:
1 Ba 0.0000 0.0000 0.0000
2 Ta 0.5000 0.5000 0.0000
3 Ag 0.0000 0.5000 0.5000
4 Ag 0.5000 0.0000 0.5000
5 Bi 0.5000 0.5000 0.5000

Summary:
DOS at the Fermi energy = 0.781 states/eV/atom
Calculated total energy = -0.2855 Ry/atom
Magnetic moment = 0.370 μB per atom
Formation enthalpy at 0 K = 0.788 eV per atom

A geometry-optimized BaTc2AgBi structure. Source: Alexandria via LeMat-Bulk, functional PBE.

Unit cell a=5.1518 b=5.1518 c=5.6151 alpha=90.00 beta=90.00 gamma=90.00
Sites, in units of the cell vectors:
1 Ba 0.0000 0.0000 0.0000
2 Tc 0.0000 0.5000 0.0000
3 Tc 0.5000 0.0000 0.0000
4 Ag 0.0000 0.0000 0.5000
5 Bi 0.5000 0.5000 0.5000

Summary:
DOS at the Fermi energy = 1.352 states/eV/atom
Calculated total energy = -0.2705 Ry/atom
Magnetic moment = 0.778 μB per atom
Formation enthalpy at 0 K = 2.196 eV per atom

A geometry-optimized BaAgBiTe3 structure. Source: Alexandria via LeMat-Bulk, functional PBE.

Unit cell a=9.4209 b=4.6007 c=10.1129 alpha=90.00 beta=103.17 gamma=90.00
Sites, in units of the cell vectors:
1 Ba 0.1825 0.2500 0.2540
2 Ba 0.8175 0.7500 0.7460
3 Ag 0.0738 0.2500 0.5822
4 Ag 0.9262 0.7500 0.4178
5 Bi 0.3308 0.7500 0.8492
6 Bi 0.6692 0.2500 0.1508
7 Te 0.1090 0.2500 0.8794
8 Te 0.2409 0.7500 0.5242
9 Te 0.4390 0.7500 0.1638
10 Te 0.5610 0.2500 0.8362
11 Te 0.7591 0.2500 0.4758
12 Te 0.8910 0.7500 0.1206

Summary:
Formation energy without anion corrections = -0.72 eV/atom
Calculated total energy = -0.2742 Ry/atom
Magnetic moment = 0.000 μB per atom